Entry 1:
Entry from Alexandria: crystalline HfU2TiN4 at its relaxed geometry (PBE).

Results
**Mass density**: 12.8 Mg/m³
**Volume**: 98.7 Å³ per cell
**Magnetization**: 0.3073 μB/atom
**Energy relative to the elements, uncorrected**: -1.518 eV/atom
**Fermi-level density of states**: 8.9 states/eV/f.u.

```
HfU2TiN4
1.0
3.1936 0.0000 0.0000
0.0000 5.5190 0.0945
0.0000 -1.9345 5.5645
U Hf N Ti
2 1 4 1
direct
0.5000 0.0000 0.5000
0.0000 0.5000 0.5000
0.5000 0.5000 0.0000
0.0000 0.7459 0.2189
0.0000 0.2541 0.7811
0.5000 0.7668 0.7822
0.5000 0.2332 0.2178
0.0000 0.0000 0.0000
```

Entry 2:
Entry from Alexandria: crystalline HfTi2VN at its relaxed geometry (PBE).

Results
**Mass density**: 7.8 Mg/m³
**Volume**: 72.7 Å³ per cell
**E above lowest polymorph**: 46.3 meV per atom
**Magnetization**: 0.0001 μB/atom
**Energy relative to the elements, uncorrected**: -0.611 eV/atom
**Fermi-level density of states**: 5.3 states/eV/f.u.

```
HfTi2VN
1.0
-0.5324 -0.7189 -4.1520
-3.8620 -1.5907 0.7707
-1.5985 3.6723 -0.4309
N Ti Hf V
1 2 1 1
direct
0.0000 0.0000 0.0000
0.5000 0.0000 0.0000
0.0000 0.5000 0.0000
0.5000 0.5000 0.5000
0.0000 0.0000 0.5000
```

Entry 3:
Entry from Alexandria: crystalline HfTi2VN at its relaxed geometry (PBE).

Results
**Mass density**: 7.5 Mg/m³
**Volume**: 74.8 Å³ per cell
**E above lowest polymorph**: 0.0 meV per atom
**Magnetization**: 0.0009 μB/atom
**Energy relative to the elements, uncorrected**: -0.657 eV/atom
**Fermi-level density of states**: 4.4 states/eV/f.u.

```
HfTi2VN
1.0
4.1138 0.0000 0.0000
0.0000 4.1138 0.0000
0.0000 0.0000 4.4182
V Ti Hf N
1 2 1 1
direct
0.5000 0.5000 0.5000
0.0000 0.5000 0.0000
0.5000 0.0000 0.0000
0.0000 0.0000 0.5000
0.0000 0.0000 0.0000
```

Entry 4:
Entry from Alexandria: crystalline Hf2TiWN at its relaxed geometry (PBE).

Results
**Mass density**: 12.4 Mg/m³
**Volume**: 80.6 Å³ per cell
**Magnetization**: 0.0000 μB/atom
**Energy relative to the elements, uncorrected**: -0.659 eV/atom
**Fermi-level density of states**: 3.3 states/eV/f.u.

```
Hf2TiWN
1.0
-1.0622 3.5209 2.5662
-4.1797 -1.5691 0.4227
1.0995 -2.0488 3.2661
Ti Hf N W
1 2 1 1
direct
0.0000 0.0000 0.5000
0.0000 0.5000 0.0000
0.5000 0.0000 0.0000
0.0000 0.0000 0.0000
0.5000 0.5000 0.5000
```

Entry 5:
Entry from Alexandria: crystalline HfTi2WN at its relaxed geometry (PBE).

Results
**Mass density**: 10.4 Mg/m³
**Volume**: 75.6 Å³ per cell
**Magnetization**: 0.0000 μB/atom
**Energy relative to the elements, uncorrected**: -0.651 eV/atom
**Fermi-level density of states**: 3.3 states/eV/f.u.

```
HfTi2WN
1.0
4.1135 0.0000 0.0000
0.0000 4.1135 0.0000
0.0000 0.0000 4.4688
N Ti W Hf
1 2 1 1
direct
0.0000 0.0000 0.0000
0.5000 0.0000 0.0000
0.0000 0.5000 0.0000
0.5000 0.5000 0.5000
0.0000 0.0000 0.5000
```

Entry 6:
Entry from Alexandria: crystalline YHf2TiN at its relaxed geometry (PBE).

Results
**Mass density**: 8.9 Mg/m³
**Volume**: 94.9 Å³ per cell
**Magnetization**: 0.0001 μB/atom
**Energy relative to the elements, uncorrected**: -0.578 eV/atom
**Fermi-level density of states**: 5.4 states/eV/f.u.

```
YHf2TiN
1.0
4.4290 0.0000 0.0000
0.0000 4.4290 0.0000
0.0000 0.0000 4.8399
Ti Hf Y N
1 2 1 1
direct
0.5000 0.5000 0.5000
0.0000 0.5000 0.0000
0.5000 0.0000 0.0000
0.0000 0.0000 0.5000
0.0000 0.0000 0.0000
```

Entry 7:
Entry from Alexandria: crystalline Hf3TiZn2N at its relaxed geometry (PBE).

Results
**Mass density**: 10.0 Mg/m³
**Volume**: 121.3 Å³ per cell
**Magnetization**: 0.0000 μB/atom
**Energy relative to the elements, uncorrected**: -0.519 eV/atom
**Fermi-level density of states**: 4.5 states/eV/f.u.

```
Hf3TiZn2N
1.0
-0.5803 3.1519 2.5131
1.0730 -2.4453 3.3147
6.4484 1.5108 -3.7058
N Ti Hf Zn
1 1 3 2
direct
0.0000 0.0000 0.0000
0.5000 0.0000 0.0000
0.1667 0.1667 0.3334
0.8333 0.8333 0.6666
0.0000 0.5000 0.0000
0.6352 0.6352 0.2704
0.3648 0.3648 0.7296
```

Entry 8:
Entry from Alexandria: crystalline HfZrTi2N at its relaxed geometry (PBE).

Results
**Mass density**: 7.7 Mg/m³
**Volume**: 81.9 Å³ per cell
**E above lowest polymorph**: 0.0 meV per atom
**Magnetization**: 0.0000 μB/atom
**Energy relative to the elements, uncorrected**: -0.689 eV/atom
**Fermi-level density of states**: 5.5 states/eV/f.u.

```
HfZrTi2N
1.0
-0.6256 3.8704 1.6476
-1.4773 -1.7618 3.5777
4.1918 -0.0490 1.7067
N Ti Hf Zr
1 2 1 1
direct
0.0000 0.0000 0.0000
0.0000 0.5000 0.0000
0.5000 0.0000 0.0000
0.0000 0.0000 0.5000
0.5000 0.5000 0.5000
```

Entry 9:
Entry from Alexandria: crystalline Hf2ZrTi3N6 at its relaxed geometry (PBE).

Results
**Mass density**: 8.7 Mg/m³
**Volume**: 129.7 Å³ per cell
**Magnetization**: 0.0000 μB/atom
**Energy relative to the elements, uncorrected**: -1.699 eV/atom
**Fermi-level density of states**: 4.3 states/eV/f.u.

```
Hf2ZrTi3N6
1.0
-1.5962 -4.8025 -1.9918
2.5886 0.2492 4.7766
-4.7747 2.0007 1.4589
Hf N Zr Ti
2 6 1 3
direct
0.3336 0.6664 0.0000
0.6664 0.3336 0.0000
0.2527 0.2527 0.7387
0.5733 0.9132 0.7395
0.9132 0.5733 0.7395
0.4267 0.0868 0.2605
0.7473 0.7473 0.2613
0.0868 0.4267 0.2605
0.0000 0.0000 0.0000
0.8342 0.1658 0.5000
0.5000 0.5000 0.5000
0.1658 0.8342 0.5000
```

Entry 10:
Entry from Alexandria: crystalline Hf3ZrTi2N6 at its relaxed geometry (PBE).

Results
**Mass density**: 10.0 Mg/m³
**Volume**: 134.2 Å³ per cell
**Magnetization**: 0.0000 μB/atom
**Energy relative to the elements, uncorrected**: -1.711 eV/atom
**Fermi-level density of states**: 4.1 states/eV/f.u.

```
Hf3ZrTi2N6
1.0
-0.0421 -5.3431 1.2736
3.5351 1.9117 -3.7445
2.2994 1.9981 4.5278
Hf N Zr Ti
3 6 1 2
direct
0.8325 0.1675 0.5000
0.5000 0.5000 0.5000
0.1675 0.8325 0.5000
0.4245 0.0838 0.2506
0.2583 0.2583 0.7506
0.9162 0.5755 0.7494
0.7417 0.7417 0.2494
0.0838 0.4245 0.2506
0.5755 0.9162 0.7494
0.0000 0.0000 0.0000
0.3334 0.6666 0.0000
0.6666 0.3334 0.0000
```

Entry 11:
Entry from Alexandria: crystalline Hf2ZrTiN at its relaxed geometry (PBE).

Results
**Mass density**: 9.5 Mg/m³
**Volume**: 89.4 Å³ per cell
**E above lowest polymorph**: 3.3 meV per atom
**Magnetization**: 0.0000 μB/atom
**Energy relative to the elements, uncorrected**: -0.702 eV/atom
**Fermi-level density of states**: 5.1 states/eV/f.u.

```
Hf2ZrTiN
1.0
4.4213 0.0000 0.0000
0.0000 4.4213 0.0000
0.0000 0.0000 4.5714
Zr Hf Ti N
1 2 1 1
direct
0.0000 0.0000 0.5000
0.5000 0.0000 0.0000
0.0000 0.5000 0.0000
0.5000 0.5000 0.5000
0.0000 0.0000 0.0000
```

Entry 12:
Entry from Alexandria: crystalline HfZrTi2N4 at its relaxed geometry (PBE).

Results
**Mass density**: 8.1 Mg/m³
**Volume**: 86.8 Å³ per cell
**Magnetization**: 0.0000 μB/atom
**Energy relative to the elements, uncorrected**: -1.683 eV/atom
**Fermi-level density of states**: 3.9 states/eV/f.u.

```
HfZrTi2N4
1.0
3.1348 0.0000 0.0000
0.0000 5.3923 -0.0912
0.0000 1.9133 5.1027
Ti N Hf Zr
2 4 1 1
direct
0.0000 0.0000 0.0000
0.5000 0.0000 0.5000
0.0000 0.2394 0.2484
0.5000 0.2354 0.7607
0.5000 0.7646 0.2393
0.0000 0.7606 0.7516
0.5000 0.5000 0.0000
0.0000 0.5000 0.5000
```

Which of these has the lowest energy relative to the elements, uncorrected?
Hf3ZrTi2N6